1.
## TlIn2Ga10 (PBE)

Data for an optimized crystal structure of TlIn2Ga10.

Cell lengths 6.001, 7.568, 7.503 Å; angles 80.88, 66.43, 66.64 degrees
Atoms (fractional coordinates):
Ga1 0.641 0.374 0.343
Ga2 0.500 0.500 0.000
Ga3 0.359 0.626 0.657
Ga4 0.491 0.219 0.799
Ga5 0.710 0.781 0.799
Ga6 0.000 0.500 0.000
Ga7 0.985 0.374 0.657
Ga8 0.015 0.626 0.343
Ga9 0.509 0.781 0.201
Ga10 0.290 0.219 0.201
In1 0.000 0.000 0.500
In2 0.500 0.000 0.500
Tl1 0.000 0.000 0.000

Summary:
volume	287	Å³/cell
ΔE_f	0.07	eV/atom
ρ	6.6	g/cm3


2.
## Tl3In6Ga (PBE)

Data for an optimized crystal structure of Tl3In6Ga.

Cell lengths 4.463, 10.700, 12.298 Å; angles 102.50, 90.00, 90.00 degrees
Atoms (fractional coordinates):
In1 0.250 0.032 0.412
In2 0.250 0.493 0.598
In3 0.750 0.507 0.402
In4 0.750 0.605 0.046
In5 0.250 0.888 0.755
In6 0.750 0.775 0.880
In7 0.250 0.395 0.954
In8 0.750 0.252 0.524
In9 0.250 0.225 0.120
In10 0.250 0.748 0.476
In11 0.750 0.112 0.245
In12 0.750 0.968 0.588
Tl1 0.250 0.544 0.220
Tl2 0.750 0.456 0.780
Tl3 0.750 0.104 0.922
Tl4 0.250 0.189 0.715
Tl5 0.250 0.896 0.078
Tl6 0.750 0.811 0.285
Ga1 0.750 0.692 0.635
Ga2 0.250 0.308 0.365

Summary:
volume	573	Å³/cell
ΔE_f	0.05	eV/atom
ρ	7.9	g/cm3


3.
## TlInGa3 (PBE)

Data for an optimized crystal structure of TlInGa3.

Cell lengths 5.340, 5.340, 5.340 Å; angles 90.00, 90.00, 90.00 degrees
Atoms (fractional coordinates):
Tl1 0.500 0.500 0.500
Ga1 0.500 0.000 0.000
Ga2 0.000 0.000 0.500
Ga3 0.000 0.500 0.000
In1 0.000 0.000 0.000

Summary:
volume	152	Å³/cell
ΔE_f	0.42	eV/atom
ρ	5.8	g/cm3